(1)
VASP calculation (PBE) on crystalline Li2VPt2 at its relaxed geometry.

POSCAR file:
```
Li2VPt2
1.0
6.932 0.000 0.000
0.000 6.932 0.000
0.000 0.000 2.785
V Pt Li
2 4 4
Cartesian
0.000 0.000 0.000
3.466 3.466 0.000
1.332 4.798 1.392
4.798 5.599 1.392
5.599 2.134 1.392
2.134 1.332 1.392
2.715 6.181 0.000
6.181 4.217 0.000
4.217 0.751 0.000
0.751 2.715 0.000
```

Values from the calculation:
ΔE_f, meV per atom: -338.3
Energy above the lowest structure with this stoichiometry, meV per atom: 0
Density of states at the Fermi level, states/eV per atom: 0.8629
Size of the total moment, μB per atom: 0.43
Calculated density, g cm⁻³: 11.29
Total energy, eV/atom: -5.34


(2)
VASP calculation (PBE) on crystalline YCrTc2 at its relaxed geometry.

POSCAR file:
```
YCrTc2
1.0
3.044 0.539 0.000
-0.540 3.044 0.000
0.000 0.000 7.025
Cr Tc Y
1 2 1
Cartesian
1.252 1.791 5.268
0.000 0.000 6.634
0.000 0.000 3.903
1.252 1.791 1.756
```

Values from the calculation:
ΔE_f, meV per atom: 176.1
Energy above the lowest structure with this stoichiometry, meV per atom: 0
Density of states at the Fermi level, states/eV per atom: 1.0687
Size of the total moment, μB per atom: 0.00
Calculated density, g cm⁻³: 8.33
Total energy, eV/atom: -9.03


(3)
VASP calculation (PBE) on crystalline MnCr2HRh at its relaxed geometry.

POSCAR file:
```
MnCr2HRh
1.0
3.716 0.000 0.000
0.000 3.716 0.000
0.000 0.000 3.642
Cr Mn Rh H
2 1 1 1
Cartesian
0.000 1.858 0.000
1.858 0.000 0.000
0.000 0.000 1.821
1.858 1.858 1.821
0.000 0.000 0.000
```

Values from the calculation:
Density of states at the Fermi level, states/eV per atom: 1.2447
Size of the total moment, μB per atom: 0.00
Calculated density, g cm⁻³: 8.68
Total energy, eV/atom: -7.80